## TlSiO2 (PBE-GGA)

Data for TlSiO2 after structural relaxation.

a = 5.4817 Å, b = 5.4817 Å, c = 5.4826 Å
α = 60.01°, β = 60.01°, γ = 90.00°
With the nearest neighbours (Å) after each atom.
Atoms (fractional coordinates):
Tl 0.7500 0.2500 0.5000  12 O 3.21, 4 Tl 3.36, 4 Si 3.36
Tl 0.0000 0.0000 0.0000  12 O 3.21, 4 Tl 3.36, 4 Si 3.36
O 0.3748 0.1250 0.2500  2 Si 1.68
O 0.3752 0.6250 0.2500  2 Si 1.68
O 0.8750 0.6248 0.7500  2 Si 1.68
O 0.3750 0.6252 0.7500  2 Si 1.68
Si 0.5000 0.5000 0.0000  4 O 1.68
Si 0.2500 0.7500 0.5000  4 O 1.68

Results
symmetry: Fd-3m (227)
E: -48.1 eV for the cell shown
excess energy over the best structure of this formula in the dataset: 0.000 eV/atom
Fermi-level density of states: 2.07 states/eV per cell
formation energy from raw total energies: -1.590 eV per atom

## Ba3PtI2 (PBE-GGA)

Data for Ba3PtI2 after structural relaxation.

a = 8.8391 Å, b = 9.5954 Å, c = 9.5954 Å
α = 141.16°, β = 90.00°, γ = 90.00°
With the nearest neighbours (Å) after each atom.
Atoms (fractional coordinates):
Ba 0.0000 0.1268 0.8732  2 Pt 3.19
Ba 0.2500 0.5092 0.5092  2 Pt 3.17-3.22, 2 I 3.41
Ba 0.5000 0.8732 0.1268  2 Pt 3.19
Ba 0.0000 0.8732 0.1268  2 Pt 3.19
Ba 0.7500 0.4908 0.4908  2 Pt 3.17-3.22, 2 I 3.41
Ba 0.5000 0.1268 0.8732  2 Pt 3.19
I 0.7500 0.2776 0.6545  1 Ba 3.41
I 0.2500 0.7224 0.3455  1 Ba 3.41
I 0.7500 0.6545 0.2776  1 Ba 3.41
I 0.2500 0.3455 0.7224  1 Ba 3.41
Pt 0.7500 0.9868 0.9868  6 Ba 3.17-3.22
Pt 0.2500 0.0132 0.0132  6 Ba 3.17-3.22

Results
symmetry: Cmcm (63)
E: -43.3 eV for the cell shown
excess energy over the best structure of this formula in the dataset: 0.071 eV/atom
Fermi-level density of states: 9.07 states/eV per cell
formation energy from raw total energies: -1.127 eV per atom

## DyTmScIr (PBE-GGA)

Data for DyTmScIr after structural relaxation.

a = 5.0044 Å, b = 5.0044 Å, c = 5.0044 Å
α = 60.00°, β = 60.00°, γ = 60.00°
With the nearest neighbours (Å) after each atom.
Atoms (fractional coordinates):
Ir 0.7500 0.7500 0.7500  4 Dy 3.06, 4 Tm 3.06
Tm 0.0000 0.0000 0.0000  4 Ir 3.06, 4 Sc 3.06
Dy 0.5000 0.5000 0.5000  4 Sc 3.06, 4 Ir 3.06
Sc 0.2500 0.2500 0.2500  4 Dy 3.06, 4 Tm 3.06

Results
symmetry: F-43m (216)
E: -25.4 eV for the cell shown
ΔE_f: -294 meV per atom
Fermi-level density of states: 3.86 states/eV per cell

## TlCoCuBr6 (PBE-GGA)

Data for TlCoCuBr6 after structural relaxation.

a = 6.5762 Å, b = 6.5763 Å, c = 7.2236 Å
α = 90.01°, β = 90.00°, γ = 59.99°
With the nearest neighbours (Å) after each atom.
Atoms (fractional coordinates):
Br 0.0194 0.6192 0.6934  1 Co 2.42, 1 Cu 2.59
Br 0.3612 0.6192 0.3067  1 Co 2.42, 1 Cu 2.59
Br 0.6192 0.0195 0.3065  1 Co 2.42, 1 Cu 2.59
Br 0.3613 0.0194 0.6933  1 Co 2.42, 1 Cu 2.59
Br 0.0194 0.3614 0.3067  1 Co 2.42, 1 Cu 2.59
Br 0.6192 0.3613 0.6933  1 Co 2.42, 1 Cu 2.59
Co 0.3333 0.3334 0.5000  6 Br 2.42
Cu 0.6667 0.6667 0.5000  6 Br 2.59
Tl 0.0000 0.0000 0.0000  6 Br 3.30

Results
symmetry: P312 (149)
E: -27.0 eV for the cell shown
Fermi-level density of states: 7.52 states/eV per cell
formation energy from raw total energies: -0.375 eV per atom

## LiBI3 (PBE-GGA)

Data for LiBI3 after structural relaxation.

a = 5.2599 Å, b = 5.2599 Å, c = 5.2599 Å
α = 90.00°, β = 90.00°, γ = 90.00°
With the nearest neighbours (Å) after each atom.
Atoms (fractional coordinates):
I 0.5000 0.0000 0.0000  2 B 2.63
I 0.0000 0.5000 0.0000  2 B 2.63
I 0.0000 0.0000 0.5000  2 B 2.63
Li 0.5000 0.5000 0.5000  12 I 3.72
B 0.0000 0.0000 0.0000  6 I 2.63

Results
symmetry: Pm-3m (221)
E: -11.9 eV for the cell shown
excess energy over the best structure of this formula in the dataset: 0.000 eV/atom
Fermi-level density of states: 1.58 states/eV per cell
formation energy from raw total energies: 0.269 eV per atom

## Hf2Sc3Cu3 (PBE-GGA)

Data for Hf2Sc3Cu3 after structural relaxation.

a = 3.2366 Å, b = 4.7408 Å, c = 10.1818 Å
α = 103.46°, β = 99.15°, γ = 90.00°
With the nearest neighbours (Å) after each atom.
Atoms (fractional coordinates):
Hf 0.7290 0.2290 0.4580  2 Cu 2.76, 4 Hf 2.98
Hf 0.2710 0.7710 0.5420  2 Cu 2.76, 4 Hf 2.98
Sc 0.6207 0.6207 0.2415  6 Cu 2.86-2.87, 2 Hf 3.18
Sc 0.5000 0.0000 0.0000  8 Cu 2.76-2.87
Sc 0.3793 0.3793 0.7585  6 Cu 2.86-2.87, 2 Hf 3.18
Cu 0.0000 0.5000 0.0000  8 Sc 2.86-2.87
Cu 0.8856 0.8856 0.7712  6 Sc 2.76-2.87, 2 Hf 2.76
Cu 0.1144 0.1144 0.2288  6 Sc 2.76-2.87, 2 Hf 2.76

Results
symmetry: Immm (71)
E: -52.5 eV for the cell shown
ΔE_f: -167 meV per atom
Fermi-level density of states: 7.36 states/eV per cell

## Sm4Dy6Ho19 (PBE-GGA)

Data for Sm4Dy6Ho19 after structural relaxation.

a = 10.7493 Å, b = 10.7492 Å, c = 10.7493 Å
α = 109.47°, β = 109.47°, γ = 109.47°
With the nearest neighbours (Å) after each atom.
Atoms (fractional coordinates):
Ho 0.6602 0.4598 0.6748  1 Dy 3.18, 2 Sm 3.33-3.40, 2 Ho 3.36-3.53
Ho 0.2610 0.2610 0.0000  5 Ho 3.24-3.53, 2 Sm 3.31, 2 Dy 3.36
Ho 0.4598 0.6748 0.6602  1 Dy 3.18, 2 Sm 3.33-3.40, 2 Ho 3.36-3.53
Ho 0.2150 0.5402 0.2004  1 Dy 3.18, 2 Sm 3.33-3.40, 2 Ho 3.36-3.53
Ho 0.0000 0.2610 0.2610  5 Ho 3.24-3.53, 2 Sm 3.31, 2 Dy 3.36
Ho 0.0146 0.7996 0.3398  1 Dy 3.18, 2 Sm 3.33-3.40, 2 Ho 3.36-3.53
Ho 0.0000 0.7390 0.7390  5 Ho 3.24-3.53, 2 Sm 3.31, 2 Dy 3.36
Ho 0.2004 0.2150 0.5402  1 Dy 3.18, 2 Sm 3.33-3.40, 2 Ho 3.36-3.53
Ho 0.7390 0.0000 0.7390  5 Ho 3.24-3.53, 2 Sm 3.31, 2 Dy 3.36
Ho 0.6748 0.6602 0.4598  1 Dy 3.18, 2 Sm 3.33-3.40, 2 Ho 3.36-3.53
Ho 0.2610 0.0000 0.2610  5 Ho 3.24-3.53, 2 Sm 3.31, 2 Dy 3.36
Ho 0.7850 0.9854 0.3252  1 Dy 3.18, 2 Sm 3.33-3.40, 2 Ho 3.36-3.53
Ho 0.7996 0.3398 0.0146  1 Dy 3.18, 2 Sm 3.33-3.40, 2 Ho 3.36-3.53
Ho 0.0000 0.0000 0.0000  6 Ho 3.24
Ho 0.3252 0.7850 0.9854  1 Dy 3.18, 2 Sm 3.33-3.40, 2 Ho 3.36-3.53
Ho 0.9854 0.3252 0.7850  1 Dy 3.18, 2 Sm 3.33-3.40, 2 Ho 3.36-3.53
Ho 0.3398 0.0146 0.7996  1 Dy 3.18, 2 Sm 3.33-3.40, 2 Ho 3.36-3.53
Ho 0.7390 0.7390 0.0000  5 Ho 3.24-3.53, 2 Sm 3.31, 2 Dy 3.36
Ho 0.5402 0.2004 0.2150  1 Dy 3.18, 2 Sm 3.33-3.40, 2 Ho 3.36-3.53
Sm 0.6410 0.0000 0.0000  9 Ho 3.31-3.40
Sm 0.0000 0.6410 0.0000  9 Ho 3.31-3.40
Sm 0.0000 0.0000 0.6410  9 Ho 3.31-3.40
Sm 0.3590 0.3590 0.3590  9 Ho 3.31-3.40
Dy 0.8736 0.3736 0.5000  1 Dy 3.14, 4 Ho 3.18-3.36
Dy 0.5000 0.8736 0.3736  1 Dy 3.14, 4 Ho 3.18-3.36
Dy 0.5000 0.1264 0.6264  1 Dy 3.14, 4 Ho 3.18-3.36
Dy 0.6264 0.5000 0.1264  1 Dy 3.14, 4 Ho 3.18-3.36
Dy 0.1264 0.6264 0.5000  1 Dy 3.14, 4 Ho 3.18-3.36
Dy 0.3736 0.5000 0.8736  1 Dy 3.14, 4 Ho 3.18-3.36

Results
symmetry: I23 (197)
E: -122.1 eV for the cell shown
ΔE_f: 390 meV per atom
Fermi-level density of states: 42.74 states/eV per cell

## RbTlS2 (PBE-GGA)

Data for RbTlS2 after structural relaxation.

a = 7.1035 Å, b = 7.4383 Å, c = 10.3854 Å
α = 90.00°, β = 90.00°, γ = 90.00°
With the nearest neighbours (Å) after each atom.
Atoms (fractional coordinates):
Tl 0.4985 0.0083 0.3684  4 S 2.53-2.63
Tl 0.4985 0.5083 0.1316  4 S 2.53-2.63
Tl 0.9985 0.9917 0.6316  4 S 2.53-2.63
Tl 0.9985 0.4917 0.8684  4 S 2.53-2.63
Rb 0.5388 0.3687 0.6222  5 S 3.28-3.53
Rb 0.5388 0.8687 0.8778  5 S 3.28-3.53
Rb 0.0388 0.1313 0.1222  5 S 3.28-3.53
Rb 0.0388 0.6313 0.3778  5 S 3.28-3.53
S 0.8482 0.5672 0.0901  2 Tl 2.56-2.60
S 0.8676 0.1683 0.8197  2 Tl 2.53-2.63
S 0.3676 0.3317 0.3197  2 Tl 2.53-2.63
S 0.3676 0.8317 0.1803  2 Tl 2.53-2.63
S 0.3482 0.4328 0.9099  2 Tl 2.56-2.60
S 0.3482 0.9328 0.5901  2 Tl 2.56-2.60
S 0.8482 0.0672 0.4099  2 Tl 2.56-2.60
S 0.8676 0.6683 0.6803  2 Tl 2.53-2.63

Results
symmetry: Pna2_1 (33)
E: -55.9 eV for the cell shown
excess energy over the best structure of this formula in the dataset: 0.040 eV/atom
formation energy from raw total energies: -0.596 eV per atom

## GaPPb3 (PBE-GGA)

Data for GaPPb3 after structural relaxation.

a = 5.4039 Å, b = 5.4039 Å, c = 5.4039 Å
α = 90.00°, β = 90.00°, γ = 90.00°
With the nearest neighbours (Å) after each atom.
Atoms (fractional coordinates):
P 0.5000 0.5000 0.5000  12 Pb 3.82
Pb 0.5000 0.0000 0.0000  2 Ga 2.70
Pb 0.0000 0.5000 0.0000  2 Ga 2.70
Pb 0.0000 0.0000 0.5000  2 Ga 2.70
Ga 0.0000 0.0000 0.0000  6 Pb 2.70

Results
symmetry: Pm-3m (221)
E: -16.3 eV for the cell shown
excess energy over the best structure of this formula in the dataset: 0.182 eV/atom
ΔE_f: 648 meV per atom
Fermi-level density of states: 2.55 states/eV per cell

## LiIrRh2F (PBE-GGA)

Data for LiIrRh2F after structural relaxation.

a = 4.7911 Å, b = 4.1414 Å, c = 4.7911 Å
α = 90.00°, β = 90.00°, γ = 90.00°
With the nearest neighbours (Å) after each atom.
Atoms (fractional coordinates):
F 0.0000 0.5000 0.0000  2 Ir 2.07
Li 0.5000 0.5000 0.5000  8 Rh 3.17, 4 F 3.39
Rh 0.0000 0.0000 0.5000  2 Ir 2.40
Rh 0.5000 0.0000 0.0000  2 Ir 2.40
Ir 0.0000 0.0000 0.0000  2 F 2.07

Results
symmetry: P4/mmm (123)
E: -24.7 eV for the cell shown
Fermi-level density of states: 4.41 states/eV per cell
formation energy from raw total energies: 0.522 eV per atom

Copy entry 4 word for word.
## TlCoCuBr6 (PBE-GGA)

Data for TlCoCuBr6 after structural relaxation.

a = 6.5762 Å, b = 6.5763 Å, c = 7.2236 Å
α = 90.01°, β = 90.00°, γ = 59.99°
With the nearest neighbours (Å) after each atom.
Atoms (fractional coordinates):
Br 0.0194 0.6192 0.6934  1 Co 2.42, 1 Cu 2.59
Br 0.3612 0.6192 0.3067  1 Co 2.42, 1 Cu 2.59
Br 0.6192 0.0195 0.3065  1 Co 2.42, 1 Cu 2.59
Br 0.3613 0.0194 0.6933  1 Co 2.42, 1 Cu 2.59
Br 0.0194 0.3614 0.3067  1 Co 2.42, 1 Cu 2.59
Br 0.6192 0.3613 0.6933  1 Co 2.42, 1 Cu 2.59
Co 0.3333 0.3334 0.5000  6 Br 2.42
Cu 0.6667 0.6667 0.5000  6 Br 2.59
Tl 0.0000 0.0000 0.0000  6 Br 3.30

Results
symmetry: P312 (149)
E: -27.0 eV for the cell shown
Fermi-level density of states: 7.52 states/eV per cell
formation energy from raw total energies: -0.375 eV per atom